First-principles (PBE) data for a geometry-optimized SiSb2TeO structure, as listed in Alexandria via LeMat-Bulk.

```
SiSb2TeO
1.0
-4.1475 -2.2405 -0.0520
2.1394 -3.9257 -1.4955
0.7056 -1.4159 4.7263
Sb Si Te O
2 1 1 1
direct
0.0000 0.5000 0.0000 Sb
0.5000 0.0000 0.0000 Sb
0.5000 0.5000 0.5000 Si
0.0000 0.0000 0.5000 Te
0.0000 0.0000 0.0000 O
```


First-principles (PBE) data for a geometry-optimized SiSb2TeO structure, as listed in Alexandria via LeMat-Bulk.

```
SiSb2TeO
1.0
5.7701 0.0000 0.0000
0.0000 5.0961 0.0000
0.0000 0.0000 5.7701
Sb Si Te O
2 1 1 1
direct
0.0000 0.0000 0.5000 Sb
0.5000 0.0000 0.0000 Sb
0.0000 0.5000 0.0000 Si
0.0000 0.0000 0.0000 Te
0.5000 0.5000 0.5000 O
```


| no. | energy relative to the lowest polymorph listed for this composition (kJ/mol of atoms) | uncorrected energy (eV per atom) | formation energy without anion corrections (kJ/mol of atoms) |
| --- | --- | --- | --- |
| 1 | 0.00 | -4.0726 | 27.1 |
| 2 | 120.69 | -2.8217 | 147.8 |